Record 1
Entry from Alexandria: a relaxed CeNdPt6 crystal (PBE-GGA).

Cell: 5.3747 5.3747 5.3747 Å, 90.00 90.00 90.00°
Fractional positions:
1 Ce 0.0000 0.0000 0.0000
2 Pt 0.0000 0.5000 0.7521
3 Pt 0.5000 0.7521 0.0000
4 Pt 0.5000 0.2479 0.0000
5 Pt 0.7521 0.0000 0.5000
6 Pt 0.2479 0.0000 0.5000
7 Pt 0.0000 0.5000 0.2479
8 Nd 0.5000 0.5000 0.5000

Summary:
offset from the most stable computed form = 0.2924 eV per atom
energy relative to the elements = -0.656 eV per atom

=====

Record 2
Entry from Alexandria: a relaxed CeNd2Pt crystal (PBE-GGA).

Cell: 3.9673 3.9673 9.8052 Å, 78.33 78.33 60.00°
Fractional positions:
1 Nd 0.0615 0.0615 0.8156
2 Nd 0.2715 0.2715 0.1856
3 Pt 0.6661 0.6661 0.0017
4 Ce 0.5010 0.5010 0.4971

Summary:
offset from the most stable computed form = 0.2066 eV per atom
energy relative to the elements = -0.354 eV per atom

=====

Record 3
Entry from Alexandria: a relaxed CeNd2Pt crystal (PBE-GGA).

Cell: 6.6805 7.1728 10.0000 Å, 90.00 90.00 90.00°
Fractional positions:
1 Nd 0.8325 0.3172 0.5617
2 Nd 0.1675 0.6828 0.4383
3 Nd 0.6675 0.8172 0.9383
4 Nd 0.1675 0.6828 0.0617
5 Nd 0.3325 0.1828 0.4383
6 Nd 0.3325 0.1828 0.0617
7 Nd 0.8325 0.3172 0.9383
8 Nd 0.6675 0.8172 0.5617
9 Pt 0.5508 0.1232 0.7500
10 Pt 0.0508 0.3768 0.2500
11 Pt 0.4492 0.8768 0.2500
12 Pt 0.9492 0.6232 0.7500
13 Ce 0.6505 0.5290 0.2500
14 Ce 0.8495 0.0290 0.2500
15 Ce 0.3495 0.4710 0.7500
16 Ce 0.1505 0.9710 0.7500

Summary:
offset from the most stable computed form = 0.0000 eV per atom
energy relative to the elements = -0.561 eV per atom